Below is a geometry-optimized TaBeFeNi structure, with properties calculated at the PBE level.

Unit cell a=5.7775 b=5.7775 c=5.7775 alpha=90.00 beta=90.00 gamma=90.00
Fractional coordinates of all 16 atoms:
Ta: 0.0000 0.0000 0.0000
Ta: 0.0000 0.5000 0.5000
Ta: 0.5000 0.0000 0.5000
Ta: 0.5000 0.5000 0.0000
Be: 0.0000 0.0000 0.5000
Be: 0.0000 0.5000 0.0000
Be: 0.5000 0.0000 0.0000
Be: 0.5000 0.5000 0.5000
Fe: 0.2500 0.2500 0.2500
Fe: 0.2500 0.7500 0.7500
Fe: 0.7500 0.2500 0.7500
Fe: 0.7500 0.7500 0.2500
Ni: 0.2500 0.2500 0.7500
Ni: 0.2500 0.7500 0.2500
Ni: 0.7500 0.2500 0.2500
Ni: 0.7500 0.7500 0.7500

Properties
ΔE_f (meV per atom): -156
N(E_F) (states/eV/f.u.): 2.95
SG: F-43m, No. 216
Theoretical density (Mg/m³): 10.49

***

Below is a geometry-optimized CeThCo structure, with properties calculated at the PBE level.

Unit cell a=3.7573 b=3.7573 c=6.1216 alpha=90.00 beta=90.00 gamma=120.00
Fractional coordinates of all 3 atoms:
Ce: 0.0000 0.0000 0.0000
Th: 0.6667 0.3333 0.4749
Co: 0.3333 0.6667 0.7445

Properties
ΔE_f (meV per atom): -92
N(E_F) (states/eV/f.u.): 5.31
Polymorph energy (0 for the lowest one) (meV/atom): 55
SG: P3m1, No. 156
Theoretical density (Mg/m³): 9.56

***

Below is a geometry-optimized ScTlFe structure, with properties calculated at the PBE level.

Unit cell a=3.4413 b=3.4413 c=9.4917 alpha=90.00 beta=90.00 gamma=90.00
Fractional coordinates of all 6 atoms:
Sc: 0.0000 0.0000 0.0000
Sc: 0.5000 0.5000 0.5000
Tl: 0.0000 0.0000 0.3075
Tl: 0.5000 0.5000 0.8075
Fe: 0.0000 0.0000 0.6458
Fe: 0.5000 0.5000 0.1458

Properties
ΔE_f (meV per atom): 57
N(E_F) (states/eV/f.u.): 3.55
SG: I4mm, No. 107
Theoretical density (Mg/m³): 9.02

***

Below is a geometry-optimized Li3Nd2Cd4 structure, with properties calculated at the PBE level.

Unit cell a=8.6698 b=8.6698 c=8.4296 alpha=90.00 beta=90.00 gamma=138.35
Fractional coordinates of all 18 atoms:
Li: 0.0000 0.0000 0.0000
Li: 0.0276 0.4724 0.2500
Li: 0.4724 0.0276 0.7500
Li: 0.5000 0.5000 0.5000
Li: 0.5276 0.9724 0.2500
Li: 0.9724 0.5276 0.7500
Nd: 0.1144 0.8856 0.4149
Nd: 0.3856 0.6144 0.9149
Nd: 0.6144 0.3856 0.0851
Nd: 0.8856 0.1144 0.5851
Cd: 0.1802 0.8198 0.0261
Cd: 0.1979 0.3021 0.2500
Cd: 0.3021 0.1979 0.7500
Cd: 0.3198 0.6802 0.5261
Cd: 0.6802 0.3198 0.4739
Cd: 0.6979 0.8021 0.2500
Cd: 0.8021 0.6979 0.7500
Cd: 0.8198 0.1802 0.9739

Properties
ΔE_f (meV per atom): -223
N(E_F) (states/eV/f.u.): 6.44
Polymorph energy (0 for the lowest one) (meV/atom): 20
SG: Cmce, No. 64
Theoretical density (Mg/m³): 5.99

***

Below is a geometry-optimized NdMn12C6 structure, with properties calculated at the PBE level.

Unit cell a=5.9415 b=5.9415 c=5.9415 alpha=103.17 beta=103.17 gamma=103.17
Fractional coordinates of all 19 atoms:
Nd: 0.0000 0.0000 0.0000
Mn: 0.1337 0.5000 0.8663
Mn: 0.1337 0.8663 0.5000
Mn: 0.1901 0.4631 0.4631
Mn: 0.4631 0.1901 0.4631
Mn: 0.4631 0.4631 0.1901
Mn: 0.5000 0.1337 0.8663
Mn: 0.5000 0.8663 0.1337
Mn: 0.5369 0.5369 0.8099
Mn: 0.5369 0.8099 0.5369
Mn: 0.8099 0.5369 0.5369
Mn: 0.8663 0.1337 0.5000
Mn: 0.8663 0.5000 0.1337
C: 0.2274 0.2274 0.6664
C: 0.2274 0.6664 0.2274
C: 0.3336 0.7726 0.7726
C: 0.6664 0.2274 0.2274
C: 0.7726 0.3336 0.7726
C: 0.7726 0.7726 0.3336

Properties
ΔE_f (meV per atom): -62
N(E_F) (states/eV/f.u.): 18.81
SG: R-3m, No. 166
Theoretical density (Mg/m³): 7.65

***

Below is a geometry-optimized Ca2TlH structure, with properties calculated at the PBE level.

Unit cell a=3.6840 b=3.6840 c=27.8333 alpha=90.00 beta=90.00 gamma=120.00
Fractional coordinates of all 12 atoms:
Ca: 0.0000 0.0000 0.1150
Ca: 0.0000 0.0000 0.8850
Ca: 0.3333 0.6667 0.5517
Ca: 0.3333 0.6667 0.7817
Ca: 0.6667 0.3333 0.2183
Ca: 0.6667 0.3333 0.4483
Tl: 0.0000 0.0000 0.0000
Tl: 0.3333 0.6667 0.6667
Tl: 0.6667 0.3333 0.3333
H: 0.0000 0.0000 0.5000
H: 0.3333 0.6667 0.1667
H: 0.6667 0.3333 0.8333

Properties
N(E_F) (states/eV/f.u.): 2.09
Polymorph energy (0 for the lowest one) (meV/atom): 240
SG: R-3m, No. 166
Theoretical density (Mg/m³): 4.35

***

Below is a geometry-optimized Er5ZnTe2 structure, with properties calculated at the PBE level.

Unit cell a=6.9186 b=6.9186 c=12.7968 alpha=90.00 beta=90.00 gamma=129.51
Fractional coordinates of all 16 atoms:
Er: 0.0548 0.9452 0.6136
Er: 0.0548 0.9452 0.8864
Er: 0.3744 0.6256 0.2500
Er: 0.3848 0.6152 0.5668
Er: 0.3848 0.6152 0.9332
Er: 0.6152 0.3848 0.0668
Er: 0.6152 0.3848 0.4332
Er: 0.6256 0.3744 0.7500
Er: 0.9452 0.0548 0.1136
Er: 0.9452 0.0548 0.3864
Zn: 0.2432 0.7568 0.7500
Zn: 0.7568 0.2432 0.2500
Te: 0.1899 0.8101 0.0899
Te: 0.1899 0.8101 0.4101
Te: 0.8101 0.1899 0.5899
Te: 0.8101 0.1899 0.9101

Properties
N(E_F) (states/eV/f.u.): 10.07
SG: Cmcm, No. 63
Theoretical density (Mg/m³): 8.13
Raw formation energy (meV per atom): -460.4

***

Below is a geometry-optimized AcAlRh structure, with properties calculated at the PBE level.

Unit cell a=4.1519 b=4.1519 c=8.3977 alpha=90.00 beta=90.00 gamma=90.00
Fractional coordinates of all 6 atoms:
Ac: 0.2500 0.2500 0.1792
Ac: 0.7500 0.7500 0.8208
Al: 0.2500 0.7500 0.5000
Al: 0.7500 0.2500 0.5000
Rh: 0.2500 0.2500 0.6823
Rh: 0.7500 0.7500 0.3177

Properties
ΔE_f (meV per atom): -739
N(E_F) (states/eV/f.u.): 1.69
Polymorph energy (0 for the lowest one) (meV/atom): 0
SG: P4/nmm, No. 129
Theoretical density (Mg/m³): 8.19

***

Below is a geometry-optimized Ba2YAs2 structure, with properties calculated at the PBE level.

Unit cell a=8.3476 b=8.3476 c=4.6814 alpha=90.00 beta=90.00 gamma=90.00
Fractional coordinates of all 10 atoms:
Ba: 0.1407 0.3593 0.0000
Ba: 0.3593 0.8593 0.0000
Ba: 0.6407 0.1407 0.0000
Ba: 0.8593 0.6407 0.0000
Y: 0.0000 0.0000 0.5000
Y: 0.5000 0.5000 0.5000
As: 0.1730 0.6730 0.5000
As: 0.3270 0.1730 0.5000
As: 0.6730 0.8270 0.5000
As: 0.8270 0.3270 0.5000

Properties
ΔE_f (meV per atom): -977
N(E_F) (states/eV/f.u.): 0.85
SG: P4/mbm, No. 127
Theoretical density (Mg/m³): 5.23

***

Below is a geometry-optimized La5Tb2Pb structure, with properties calculated at the PBE level.

Unit cell a=8.5411 b=7.3157 c=6.8440 alpha=74.11 beta=55.47 gamma=50.42
Fractional coordinates of all 8 atoms:
La: 0.0000 0.0000 0.0000
La: 0.0184 0.4680 0.9816
La: 0.4168 0.4168 0.0832
La: 0.4680 0.0184 0.5320
La: 0.9168 0.9168 0.5832
Tb: 0.4271 0.8880 0.1120
Tb: 0.8880 0.4271 0.5729
Pb: 0.4943 0.4943 0.5057

Properties
ΔE_f (meV per atom): -158
N(E_F) (states/eV/f.u.): 11.40
SG: Fmm2, No. 42
Theoretical density (Mg/m³): 7.53

***

Below is a geometry-optimized LaHfCo2 structure, with properties calculated at the PBE level.

Unit cell a=6.6308 b=6.6308 c=6.6308 alpha=90.00 beta=90.00 gamma=90.00
Fractional coordinates of all 16 atoms:
La: 0.0000 0.0000 0.0000
La: 0.0000 0.5000 0.5000
La: 0.5000 0.0000 0.5000
La: 0.5000 0.5000 0.0000
Hf: 0.0000 0.0000 0.5000
Hf: 0.0000 0.5000 0.0000
Hf: 0.5000 0.0000 0.0000
Hf: 0.5000 0.5000 0.5000
Co: 0.2500 0.2500 0.2500
Co: 0.2500 0.2500 0.7500
Co: 0.2500 0.7500 0.2500
Co: 0.2500 0.7500 0.7500
Co: 0.7500 0.2500 0.2500
Co: 0.7500 0.2500 0.7500
Co: 0.7500 0.7500 0.2500
Co: 0.7500 0.7500 0.7500

Properties
ΔE_f (meV per atom): 8
N(E_F) (states/eV/f.u.): 3.84
Polymorph energy (0 for the lowest one) (meV/atom): 172
SG: Fm-3m, No. 225
Theoretical density (Mg/m³): 9.92

***

Below is a geometry-optimized HgMo2Os structure, with properties calculated at the PBE level.

Unit cell a=3.1401 b=4.5812 c=9.3715 alpha=90.00 beta=90.00 gamma=90.00
Fractional coordinates of all 8 atoms:
Hg: 0.0000 0.0000 0.0000
Hg: 0.5000 0.5000 0.0000
Mo: 0.0000 0.0000 0.4978
Mo: 0.0000 0.5000 0.7295
Mo: 0.5000 0.0000 0.7295
Mo: 0.5000 0.5000 0.4978
Os: 0.0000 0.5000 0.2729
Os: 0.5000 0.0000 0.2729

Properties
ΔE_f (meV per atom): 492
N(E_F) (states/eV/f.u.): 4.17
SG: Cmm2, No. 35
Theoretical density (Mg/m³): 14.35

***

Below is a geometry-optimized Ca3C structure, with properties calculated at the PBE level.

Unit cell a=5.7633 b=5.7633 c=5.7633 alpha=90.00 beta=90.00 gamma=90.00
Fractional coordinates of all 8 atoms:
Ca: 0.0000 0.2500 0.5000
Ca: 0.0000 0.7500 0.5000
Ca: 0.2500 0.5000 0.0000
Ca: 0.5000 0.0000 0.2500
Ca: 0.5000 0.0000 0.7500
Ca: 0.7500 0.5000 0.0000
C: 0.0000 0.0000 0.0000
C: 0.5000 0.5000 0.5000

Properties
ΔE_f (meV per atom): 1113
N(E_F) (states/eV/f.u.): 1.94
Polymorph energy (0 for the lowest one) (meV/atom): 867
SG: Pm-3n, No. 223
Theoretical density (Mg/m³): 2.29

***

Below is a geometry-optimized Ac19Pm6Sm4 structure, with properties calculated at the PBE level.

Unit cell a=11.7685 b=11.7685 c=11.7685 alpha=109.47 beta=109.47 gamma=109.47
Fractional coordinates of all 29 atoms:
Ac: 0.0000 0.0000 0.0000
Ac: 0.0000 0.2653 0.2653
Ac: 0.0000 0.7347 0.7347
Ac: 0.0071 0.7874 0.3440
Ac: 0.2126 0.2196 0.5566
Ac: 0.2196 0.5566 0.2126
Ac: 0.2653 0.0000 0.2653
Ac: 0.2653 0.2653 0.0000
Ac: 0.3369 0.7804 0.9929
Ac: 0.3440 0.0071 0.7874
Ac: 0.4434 0.6631 0.6560
Ac: 0.5566 0.2126 0.2196
Ac: 0.6560 0.4434 0.6631
Ac: 0.6631 0.6560 0.4434
Ac: 0.7347 0.0000 0.7347
Ac: 0.7347 0.7347 0.0000
Ac: 0.7804 0.9929 0.3369
Ac: 0.7874 0.3440 0.0071
Ac: 0.9929 0.3369 0.7804
Pm: 0.1155 0.6155 0.5000
Pm: 0.3845 0.5000 0.8845
Pm: 0.5000 0.1155 0.6155
Pm: 0.5000 0.8845 0.3845
Pm: 0.6155 0.5000 0.1155
Pm: 0.8845 0.3845 0.5000
Sm: 0.0000 0.0000 0.6468
Sm: 0.0000 0.6468 0.0000
Sm: 0.3532 0.3532 0.3532
Sm: 0.6468 0.0000 0.0000

Properties
ΔE_f (meV per atom): 347
N(E_F) (states/eV/f.u.): 44.48
SG: I23, No. 197
Theoretical density (Mg/m³): 7.66

***

Below is a geometry-optimized Nd6Dy2Er3 structure, with properties calculated at the PBE level.

Unit cell a=13.3876 b=13.3876 c=13.3876 alpha=24.66 beta=24.66 gamma=24.66
Fractional coordinates of all 11 atoms:
Nd: 0.0899 0.0899 0.0899
Nd: 0.1868 0.1868 0.1868
Nd: 0.3732 0.3732 0.3732
Nd: 0.6268 0.6268 0.6268
Nd: 0.8132 0.8132 0.8132
Nd: 0.9101 0.9101 0.9101
Dy: 0.4590 0.4590 0.4590
Dy: 0.5410 0.5410 0.5410
Er: 0.0000 0.0000 0.0000
Er: 0.2829 0.2829 0.2829
Er: 0.7171 0.7171 0.7171

Properties
ΔE_f (meV per atom): 105
N(E_F) (states/eV/f.u.): 18.33
Polymorph energy (0 for the lowest one) (meV/atom): 0
SG: R-3m, No. 166
Theoretical density (Mg/m³): 7.65

***

Below is a geometry-optimized Pm3Tl2Hg3 structure, with properties calculated at the PBE level.

Unit cell a=9.2154 b=9.2154 c=6.4733 alpha=90.00 beta=90.00 gamma=120.00
Fractional coordinates of all 16 atoms:
Pm: 0.0000 0.3307 0.2500
Pm: 0.0000 0.6693 0.7500
Pm: 0.3307 0.0000 0.2500
Pm: 0.3307 0.3307 0.7500
Pm: 0.6693 0.0000 0.7500
Pm: 0.6693 0.6693 0.2500
Tl: 0.3333 0.6667 0.0000
Tl: 0.3333 0.6667 0.5000
Tl: 0.6667 0.3333 0.0000
Tl: 0.6667 0.3333 0.5000
Hg: 0.0000 0.3270 0.7500
Hg: 0.0000 0.6730 0.2500
Hg: 0.3270 0.0000 0.7500
Hg: 0.3270 0.3270 0.2500
Hg: 0.6730 0.0000 0.2500
Hg: 0.6730 0.6730 0.7500

Properties
ΔE_f (meV per atom): -318
N(E_F) (states/eV/f.u.): 7.43
SG: P6_3/mcm, No. 193
Theoretical density (Mg/m³): 10.08

***

Below is a geometry-optimized YNi2W structure, with properties calculated at the PBE level.

Unit cell a=4.6579 b=4.6579 c=2.9044 alpha=90.00 beta=90.00 gamma=90.00
Fractional coordinates of all 4 atoms:
Y: 0.0000 0.0000 0.0000
Ni: 0.0000 0.5000 0.5000
Ni: 0.5000 0.0000 0.5000
W: 0.5000 0.5000 0.0000

Properties
ΔE_f (meV per atom): 169
N(E_F) (states/eV/f.u.): 6.76
Polymorph energy (0 for the lowest one) (meV/atom): 238
SG: P4/mmm, No. 123
Theoretical density (Mg/m³): 10.28

***

Below is a geometry-optimized TaCdFe2 structure, with properties calculated at the PBE level.

Unit cell a=8.9156 b=2.7092 c=5.2442 alpha=90.00 beta=95.97 gamma=90.00
Fractional coordinates of all 8 atoms:
Ta: 0.0000 0.0000 0.0000
Ta: 0.5000 0.5000 0.0000
Cd: 0.0000 0.5000 0.5000
Cd: 0.5000 0.0000 0.5000
Fe: 0.2488 0.0000 0.7752
Fe: 0.2512 0.5000 0.2248
Fe: 0.7488 0.5000 0.7752
Fe: 0.7512 0.0000 0.2248

Properties
ΔE_f (meV per atom): 354
N(E_F) (states/eV/f.u.): 3.69
SG: C2/m, No. 12
Theoretical density (Mg/m³): 10.68

***

Below is a geometry-optimized ScTiCN2 structure, with properties calculated at the PBE level.

Unit cell a=3.6842 b=3.6842 c=8.0316 alpha=90.00 beta=90.00 gamma=90.00
Fractional coordinates of all 5 atoms:
Sc: 0.0000 0.0000 0.0000
Ti: 0.0000 0.0000 0.5000
C: 0.5000 0.5000 0.5000
N: 0.0000 0.5000 0.0000
N: 0.5000 0.0000 0.0000

Properties
N(E_F) (states/eV/f.u.): 3.54
SG: P4/mmm, No. 123
Theoretical density (Mg/m³): 2.02
Raw formation energy (meV per atom): 1896.2

***

Below is a geometry-optimized Y2AlCu4Si3 structure, with properties calculated at the PBE level.

Unit cell a=3.9965 b=3.9965 c=10.0967 alpha=90.00 beta=90.00 gamma=90.00
Fractional coordinates of all 10 atoms:
Y: 0.0000 0.5000 0.2405
Y: 0.5000 0.0000 0.7595
Al: 0.0000 0.0000 0.5000
Cu: 0.0000 0.0000 0.0000
Cu: 0.0000 0.5000 0.6387
Cu: 0.5000 0.0000 0.3613
Cu: 0.5000 0.5000 0.0000
Si: 0.0000 0.5000 0.8691
Si: 0.5000 0.0000 0.1309
Si: 0.5000 0.5000 0.5000

Properties
N(E_F) (states/eV/f.u.): 3.75
SG: P-4m2, No. 115
Theoretical density (Mg/m³): 5.59
Raw formation energy (meV per atom): -556.4

***

Below is a geometry-optimized KIr structure, with properties calculated at the PBE level.

Unit cell a=4.4210 b=4.4210 c=2.5495 alpha=90.00 beta=90.00 gamma=90.00
Fractional coordinates of all 2 atoms:
K: 0.0000 0.0000 0.0000
Ir: 0.5000 0.5000 0.5000

Properties
ΔE_f (meV per atom): 1107
N(E_F) (states/eV/f.u.): 1.80
Polymorph energy (0 for the lowest one) (meV/atom): 742
SG: P4/mmm, No. 123
Theoretical density (Mg/m³): 7.71

***

Below is a geometry-optimized ZnPtPb2 structure, with properties calculated at the PBE level.

Unit cell a=3.3715 b=3.3715 c=8.1249 alpha=90.00 beta=90.00 gamma=90.00
Fractional coordinates of all 4 atoms:
Zn: 0.0000 0.0000 0.0000
Pt: 0.5000 0.5000 0.8681
Pb: 0.0000 0.0000 0.6242
Pb: 0.5000 0.5000 0.2567

Properties
ΔE_f (meV per atom): -140
N(E_F) (states/eV/f.u.): 1.81
SG: P4mm, No. 99
Theoretical density (Mg/m³): 12.13

***

Below is a geometry-optimized Li3RhBr structure, with properties calculated at the PBE level.

Unit cell a=4.8542 b=4.8542 c=4.8542 alpha=90.00 beta=90.00 gamma=90.00
Fractional coordinates of all 5 atoms:
Li: 0.0000 0.0000 0.5000
Li: 0.0000 0.5000 0.0000
Li: 0.5000 0.0000 0.0000
Rh: 0.0000 0.0000 0.0000
Br: 0.5000 0.5000 0.5000

Properties
N(E_F) (states/eV/f.u.): 12.82
Polymorph energy (0 for the lowest one) (meV/atom): 40
SG: Pm-3m, No. 221
Theoretical density (Mg/m³): 2.96
Raw formation energy (meV per atom): 21.6

***

Below is a geometry-optimized BeCoP2 structure, with properties calculated at the PBE level.

Unit cell a=3.7745 b=3.7887 c=6.3179 alpha=90.00 beta=90.00 gamma=90.00
Fractional coordinates of all 8 atoms:
Be: 0.0000 0.0000 0.0000
Be: 0.5000 0.5000 0.0000
Co: 0.0000 0.0000 0.5000
Co: 0.5000 0.5000 0.5000
P: 0.0000 0.5000 0.2584
P: 0.0000 0.5000 0.7416
P: 0.5000 0.0000 0.2584
P: 0.5000 0.0000 0.7416

Properties
ΔE_f (meV per atom): 155
N(E_F) (states/eV/f.u.): 1.33
SG: Cmmm, No. 65
Theoretical density (Mg/m³): 4.77